[1]
PmY2TmN4, relaxed, DFT PBE; total DFT energy (no corrections) = -68.57 eV/f.u.
1.0
-2.529 2.050 -1.276
-2.428 -4.765 -2.841
-2.402 0.483 5.536
N Tm Y Pm
4 1 2 1
direct
0.000 0.243 0.746 N
0.500 0.244 0.249 N
0.500 0.756 0.751 N
0.000 0.757 0.254 N
0.000 0.000 0.000 Tm
0.000 0.500 0.500 Y
0.500 0.000 0.500 Y
0.500 0.500 0.000 Pm

---

[2]
In2CoTc, relaxed, DFT PBE; DFT formation energy = 0.320 eV/atom
1.0
0.000 3.206 3.206
3.206 0.000 3.206
3.206 3.206 0.000
In Co Tc
2 1 1
direct
0.250 0.250 0.250 In
0.750 0.750 0.750 In
0.000 0.000 0.000 Co
0.500 0.500 0.500 Tc

---

[3]
Ho6AlTe3, relaxed, DFT PBE; total DFT energy (no corrections) = -48.26 eV/f.u.
1.0
-0.517 -3.819 1.043
11.525 -2.208 -2.370
0.033 3.332 12.214
Ho Te Al
12 6 2
direct
0.250 0.244 0.701 Ho
0.250 0.888 0.536 Ho
0.250 0.207 0.245 Ho
0.750 0.488 0.649 Ho
0.250 0.058 0.874 Ho
0.750 0.756 0.299 Ho
0.750 0.942 0.126 Ho
0.750 0.418 0.115 Ho
0.750 0.112 0.464 Ho
0.250 0.512 0.351 Ho
0.250 0.582 0.885 Ho
0.750 0.793 0.755 Ho
0.250 0.839 0.947 Te
0.250 0.614 0.139 Te
0.250 0.328 0.489 Te
0.750 0.672 0.511 Te
0.750 0.161 0.053 Te
0.750 0.386 0.861 Te
0.250 0.962 0.312 Al
0.750 0.038 0.688 Al

---

[4]
HoCo4C, relaxed, DFT PBE; DFT formation energy = -0.042 eV/atom
1.0
-2.767 0.817 2.680
-3.898 -0.116 -3.989
0.491 -6.910 -0.279
Co Ho C
8 2 2
direct
0.797 0.021 0.593 Co
0.617 0.750 0.235 Co
0.000 0.000 0.000 Co
0.000 0.500 0.000 Co
0.797 0.479 0.593 Co
0.203 0.979 0.407 Co
0.383 0.250 0.765 Co
0.203 0.521 0.407 Co
0.602 0.250 0.203 Ho
0.398 0.750 0.797 Ho
0.101 0.750 0.201 C
0.899 0.250 0.799 C

---

[5]
LaMg2I, relaxed, DFT PBE; total DFT energy (no corrections) = -9.22 eV/f.u.
1.0
-1.072 -4.307 -3.433
-5.301 -1.554 -0.981
-2.311 0.928 -5.028
La Mg I
1 2 1
direct
0.500 0.500 0.500 La
0.750 0.750 0.750 Mg
0.250 0.250 0.250 Mg
0.000 0.000 0.000 I